Compound: Y3Te
Source: Alexandria via LeMat-Bulk
Functional: PBE
Structure: optimized geometry

Output
Space group ... No. 166
V ... 119.73 Å³ per cell
Distance to the lowest polymorph of the same formula ... 340.5 meV/atom
Density of states at the Fermi level ... 1.324 states/eV/atom

Structure (POSCAR):
```
Y3Te
1.0
-5.4827 -2.9940 -0.1824
5.0030 -3.2840 -1.8008
0.8478 3.9237 4.7899
Y Te
3 1
Direct
0.0000 0.5000 0.5000 Y
0.5000 0.0000 0.5000 Y
0.5000 0.5000 0.0000 Y
0.0000 0.0000 0.0000 Te
```